Entry from the Alexandria database: Na2LaCd after structural relaxation (PBE).

Output
raw total energy = -1.9908 eV/atom
DOS at the Fermi energy = 4.41 states/eV/f.u.
excess energy over the best structure of this formula in the dataset = 6.1 meV/atom
DFT formation energy = 0.129 eV/atom
total magnetization = 0.0 μB per cell

Unit cell a=5.471 b=5.471 c=5.471 alpha=60.00 beta=60.00 gamma=60.00
Element x y z (fractional)
Na1 0.750 0.750 0.750
Na2 0.250 0.250 0.250
La1 0.500 0.500 0.500
Cd1 0.000 0.000 0.000

Entry from the Alexandria database: BeOs2 after structural relaxation (PBE).

Output
raw total energy = -8.7237 eV/atom
DOS at the Fermi energy = 2.45 states/eV/f.u.
DFT formation energy = 0.005 eV/atom
total magnetization = 0.0 μB per cell

Unit cell a=4.669 b=4.669 c=6.610 alpha=68.02 beta=68.02 gamma=34.24
Element x y z (fractional)
Os1 0.844 0.844 0.577
Os2 0.504 0.504 0.793
Os3 0.496 0.496 0.207
Os4 0.156 0.156 0.423
Be1 0.808 0.808 0.092
Be2 0.192 0.192 0.908

Entry from the Alexandria database: Ba2NpGeSe5 after structural relaxation (PBE).

Output
raw total energy = -5.6244 eV/atom
DOS at the Fermi energy = 8.94 states/eV/f.u.
energy relative to the elements, uncorrected = -1137.9 kJ/mol of formula units
total magnetization = 7.6 μB per cell

Unit cell a=4.566 b=9.680 c=13.038 alpha=90.00 beta=90.00 gamma=103.64
Element x y z (fractional)
Se1 0.354 0.708 0.007
Se2 0.646 0.292 0.507
Se3 0.316 0.632 0.376
Se4 0.705 0.409 0.163
Se5 0.295 0.591 0.663
Se6 0.499 0.999 0.772
Se7 0.047 0.094 0.030
Se8 0.684 0.368 0.876
Se9 0.501 0.001 0.272
Se10 0.953 0.906 0.530
Np1 0.204 0.409 0.022
Np2 0.796 0.591 0.522
Ge1 0.446 0.891 0.444
Ge2 0.554 0.109 0.944
Ba1 0.124 0.248 0.324
Ba2 0.117 0.233 0.687
Ba3 0.876 0.752 0.824
Ba4 0.883 0.767 0.187

Entry from the Alexandria database: SrTlOs2 after structural relaxation (PBE).

Output
raw total energy = -6.3440 eV/atom
DOS at the Fermi energy = 2.20 states/eV/f.u.
excess energy over the best structure of this formula in the dataset = 0.0 meV/atom
DFT formation energy = 0.283 eV/atom
total magnetization = 0.0 μB per cell

Unit cell a=4.167 b=4.167 c=7.262 alpha=73.30 beta=73.30 gamma=59.98
Element x y z (fractional)
Os1 0.288 0.288 0.137
Os2 0.972 0.972 0.083
Sr1 0.515 0.515 0.456
Tl1 0.725 0.725 0.824

Entry from the Alexandria database: ThZnSn after structural relaxation (PBE).

Output
raw total energy = -4.6329 eV/atom
DOS at the Fermi energy = 0.56 states/eV/f.u.
DFT formation energy = -0.401 eV/atom
total magnetization = 0.0 μB per cell

Unit cell a=4.360 b=4.360 c=8.485 alpha=104.89 beta=104.89 gamma=90.00
Element x y z (fractional)
Zn1 0.675 0.175 0.349
Zn2 0.825 0.325 0.651
Th1 0.500 0.500 0.000
Th2 0.250 0.750 0.500
Sn1 0.089 0.089 0.178
Sn2 0.911 0.911 0.822

Entry from the Alexandria database: PuPaAuC after structural relaxation (PBE).

Output
raw total energy = -9.3405 eV/atom
DOS at the Fermi energy = 8.21 states/eV/f.u.
DFT formation energy = -0.258 eV/atom
total magnetization = 5.3 μB per cell

Unit cell a=3.475 b=3.473 c=7.978 alpha=90.00 beta=102.61 gamma=119.98
Element x y z (fractional)
Pu1 0.513 0.154 0.683
Pa1 0.093 0.945 0.053
C1 0.306 0.551 0.873
Au1 0.965 0.381 0.361

Number 3 is which compound?
Ba2NpGeSe5